Computed, not measured: an optimized crystal structure of NiIBr2 at the PBE-GGA level of DFT.

abc: 5.8030 12.1870 3.3675
angles: 90.00 90.00 90.00
Site moments in Bohr magnetons follow the coordinates.
Fractional coordinates of all 8 atoms:
Ni 0.0000 0.0000 0.0000  0.30
Ni 0.5000 0.5000 0.5000  0.30
I 0.0000 0.5000 0.5000  0.00
I 0.5000 0.0000 0.0000  0.00
Br 0.0000 0.1387 0.5000  0.04
Br 0.0000 0.8613 0.5000  0.04
Br 0.5000 0.6387 0.0000  0.04
Br 0.5000 0.3613 0.0000  0.04

Summary:
Energy relative to the lowest polymorph listed for this composition: 0.10 eV per formula unit
Raw formation energy: -0.164 eV/atom
Mass density: 4.82 g/cm³

Computed, not measured: an optimized crystal structure of LiCaF3 at the PBE-GGA level of DFT.

abc: 3.7073 5.9026 10.2959
angles: 90.00 90.00 90.00
Fractional coordinates of all 20 atoms:
Li 0.2500 0.4953 0.5899
Li 0.7500 0.5047 0.4101
Li 0.7500 0.0047 0.0899
Li 0.2500 0.9953 0.9101
Ca 0.2500 0.9527 0.3459
Ca 0.7500 0.0473 0.6541
Ca 0.7500 0.5473 0.8459
Ca 0.2500 0.4527 0.1541
F 0.7500 0.2242 0.2953
F 0.2500 0.6577 0.9661
F 0.2500 0.0513 0.1185
F 0.2500 0.5513 0.3815
F 0.2500 0.1577 0.5339
F 0.7500 0.4487 0.6185
F 0.2500 0.2758 0.7953
F 0.7500 0.9487 0.8815
F 0.7500 0.3423 0.0339
F 0.7500 0.7242 0.2047
F 0.7500 0.8423 0.4661
F 0.2500 0.7758 0.7047

Summary:
Energy relative to the lowest polymorph listed for this composition: 0.00 eV per formula unit
Raw formation energy: -3.468 eV/atom
Mass density: 3.07 g/cm³

Computed, not measured: an optimized crystal structure of NdScCCl at the PBE-GGA level of DFT.

abc: 3.7921 3.7921 14.3218
angles: 82.39 82.39 60.00
Fractional coordinates of all 8 atoms:
Nd 0.0801 0.0801 0.7597
Nd 0.9199 0.9199 0.2403
Sc 0.6900 0.6900 0.9301
Sc 0.3100 0.3100 0.0699
C 0.6250 0.6250 0.1250
C 0.3750 0.3750 0.8750
Cl 0.7899 0.7899 0.6302
Cl 0.2101 0.2101 0.3698

Summary:
Raw formation energy: -0.949 eV/atom
Mass density: 4.46 g/cm³

Computed, not measured: an optimized crystal structure of Sr3Ga3Ir2 at the PBE-GGA level of DFT.

abc: 6.1531 8.3619 15.2739
angles: 90.00 90.00 90.00
Fractional coordinates of all 32 atoms:
Sr 0.1148 0.4551 0.3926
Sr 0.6148 0.0449 0.6074
Sr 0.8852 0.5449 0.8926
Sr 0.3852 0.9551 0.1074
Sr 0.8852 0.5449 0.6074
Sr 0.3852 0.9551 0.3926
Sr 0.1148 0.4551 0.1074
Sr 0.6148 0.0449 0.8926
Sr 0.6111 0.3011 0.2500
Sr 0.1111 0.1989 0.7500
Sr 0.3889 0.6989 0.7500
Sr 0.8889 0.8011 0.2500
Ga 0.0622 0.1492 0.2500
Ga 0.5622 0.3508 0.7500
Ga 0.9378 0.8508 0.7500
Ga 0.4378 0.6492 0.2500
Ga 0.6256 0.3302 0.4608
Ga 0.1256 0.1698 0.5392
Ga 0.3744 0.6698 0.9608
Ga 0.8744 0.8302 0.0392
Ga 0.3744 0.6698 0.5392
Ga 0.8744 0.8302 0.4608
Ga 0.6256 0.3302 0.0392
Ga 0.1256 0.1698 0.9608
Ir 0.8893 0.1177 0.4039
Ir 0.3893 0.3823 0.5961
Ir 0.1107 0.8823 0.9039
Ir 0.6107 0.6177 0.0961
Ir 0.1107 0.8823 0.5961
Ir 0.6107 0.6177 0.4039
Ir 0.8893 0.1177 0.0961
Ir 0.3893 0.3823 0.9039

Summary:
Energy relative to the elements: -403.8 kJ/mol of formula units
Mass density: 7.24 g/cm³